Material: PmMg2TaO6
Method: DFT, PBE
State: relaxed Values from VASP.

VASP energy, eV/atom: -7.902
Space-group type: R3 (146)
Formation energy without anion corrections, eV per atom: -2.95

Geometry as Quantum ESPRESSO input:
```
&SYSTEM
  ibrav = 0, nat = 10, ntyp = 4
/
ATOMIC_SPECIES
Pm 145.00 Pm.upf
Mg 24.30 Mg.upf
Ta 180.95 Ta.upf
O 16.00 O.upf
ATOMIC_POSITIONS angstrom
Pm 0.0000 0.0000 0.0000
Mg 0.0000 0.0000 3.9869
Mg 0.0000 0.0000 11.2989
Ta 0.0000 0.0000 6.9836
O -1.5017 -0.2019 5.5682
O -0.9536 -1.4914 7.8579
O 0.9258 -1.1996 5.5682
O -0.8148 1.5715 7.8579
O 0.5760 1.4015 5.5682
O 1.7684 -0.0801 7.8579
CELL_PARAMETERS angstrom
2.7023 1.5602 4.8311
-2.7023 1.5602 4.8311
0.0000 -3.1204 4.8311
```